The following is a DFT calculation (GGA+U) of a relaxed Mg2NpMnO8 crystal.

Uncorrected energy in eV per atom: -7.36
SG: P2/m, No. 10
D(E_F) in states/eV/atom: 0.172

Cell lengths 4.715, 4.710, 6.270 Å; angles 90.00, 90.00, 92.31 degrees
Last column: magnetic moment on the atom in μB.
Fractional coordinates of all 12 atoms:
Mg  0.500  0.500  0.736  0.00
Mg  0.500  0.500  0.264  0.00
Np  0.000  0.000  0.000  0.09
Mn  0.000  0.000  0.500  2.98
O  0.186  0.812  0.261  -0.07
O  0.701  0.703  0.000  -0.01
O  0.814  0.188  0.261  -0.07
O  0.814  0.188  0.739  -0.07
O  0.299  0.297  0.000  -0.01
O  0.186  0.812  0.739  -0.07
O  0.715  0.717  0.500  -0.33
O  0.285  0.283  0.500  -0.33